Compound: CePm4Ho5
Source: Alexandria
Functional: GGA-PBE
Structure: optimized geometry

a b c (Å): 3.5815 3.5815 25.0911
angles (deg): 90.00 90.00 90.00
With the nearest neighbours (Å) after each atom.
Sites, in units of the cell vectors:
Ce  0.0000  0.0000  0.0000  8 Ho 3.48, 4 Ce 3.58
Pm  0.0000  0.0000  0.1970  8 Ho 3.58-3.60, 4 Pm 3.58
Pm  0.0000  0.0000  0.3991  8 Ho 3.58-3.59, 4 Pm 3.58
Pm  0.0000  0.0000  0.6009  8 Ho 3.58-3.59, 4 Pm 3.58
Pm  0.0000  0.0000  0.8030  8 Ho 3.58-3.60, 4 Pm 3.58
Ho  0.5000  0.5000  0.0951  4 Ce 3.48, 4 Ho 3.58, 4 Pm 3.60
Ho  0.5000  0.5000  0.2979  8 Pm 3.58-3.59, 4 Ho 3.58
Ho  0.5000  0.5000  0.5000  8 Pm 3.58, 4 Ho 3.58
Ho  0.5000  0.5000  0.7021  8 Pm 3.58-3.59, 4 Ho 3.58
Ho  0.5000  0.5000  0.9049  4 Ce 3.48, 4 Ho 3.58, 4 Pm 3.60

Computed properties:
energy relative to the elements = 33 meV/atom
ΔE to the lowest computed polymorph = 0 meV per atom
density of states at the Fermi level = 15.481 states/eV per cell
raw total energy = -47.50 eV per formula unit
space group = P4/mmm